1.
Entry from Alexandria via LeMat-Bulk: a relaxed P2HPtO crystal (PBE-GGA).

Cell: 4.804 4.804 3.818 Å, 90.00 90.00 90.00°
Positions (direct):
P  0.000  0.500  0.000
P  0.500  0.000  0.000
H  0.000  0.000  0.500
Pt  0.500  0.500  0.000
O  0.500  0.500  0.500

Output
Calculated volume (Å³ per atom): 17.6
Symmetry: P4/mmm (123)
Polymorph energy (0 for the lowest one) (meV/atom): 405
Total magnetic moment (μB per formula unit): 0.86

2.
Entry from Alexandria via LeMat-Bulk: a relaxed P2HPtO crystal (PBE-GGA).

Cell: 3.571 3.571 4.249 Å, 90.00 90.00 90.00°
Positions (direct):
P  0.000  0.500  0.000
P  0.500  0.000  0.000
H  0.000  0.000  0.000
Pt  0.500  0.500  0.500
O  0.000  0.000  0.500

Output
Calculated volume (Å³ per atom): 10.8
Symmetry: P4/mmm (123)
Polymorph energy (0 for the lowest one) (meV/atom): 0
Total magnetic moment (μB per formula unit): 0.00

3.
Entry from Alexandria via LeMat-Bulk: a relaxed RbPHO crystal (PBE-GGA).

Cell: 4.289 3.475 5.180 Å, 90.00 96.04 90.00°
Positions (direct):
Rb  0.000  0.000  0.000
P  0.470  0.500  0.510
H  0.807  0.500  0.472
O  0.474  0.500  0.815

Output
Calculated volume (Å³ per atom): 19.2
Symmetry: Pm (6)
Polymorph energy (0 for the lowest one) (meV/atom): 0
Total magnetic moment (μB per formula unit): 0.00

4.
Entry from Alexandria via LeMat-Bulk: a relaxed RbPH4O5 crystal (PBE-GGA).

Cell: 7.629 7.737 9.619 Å, 90.00 101.60 90.00°
Positions (direct):
Rb  0.195  0.210  0.016
Rb  0.195  0.290  0.516
Rb  0.805  0.710  0.484
Rb  0.805  0.790  0.984
P  0.360  0.699  0.160
P  0.360  0.801  0.660
P  0.640  0.199  0.340
P  0.640  0.301  0.840
H  0.063  0.523  0.227
H  0.063  0.977  0.727
H  0.120  0.569  0.759
H  0.120  0.931  0.259
H  0.342  0.717  0.439
H  0.342  0.783  0.939
H  0.421  0.501  0.812
H  0.421  0.999  0.312
H  0.579  0.001  0.688
H  0.579  0.499  0.188
H  0.658  0.217  0.061
H  0.658  0.283  0.561
H  0.880  0.069  0.741
H  0.880  0.431  0.241
H  0.937  0.023  0.273
H  0.937  0.477  0.773
O  0.022  0.004  0.208
O  0.022  0.496  0.708
O  0.225  0.555  0.129
O  0.225  0.945  0.629
O  0.341  0.663  0.536
O  0.341  0.837  0.036
O  0.350  0.693  0.793
O  0.350  0.807  0.293
O  0.440  0.129  0.324
O  0.440  0.371  0.824
O  0.560  0.629  0.176
O  0.560  0.871  0.676
O  0.650  0.193  0.707
O  0.650  0.307  0.207
O  0.659  0.163  0.964
O  0.659  0.337  0.464
O  0.775  0.055  0.371
O  0.775  0.445  0.871
O  0.978  0.504  0.292
O  0.978  0.996  0.792

Output
Calculated volume (Å³ per atom): 12.6
Energy (eV/atom): -5.677
Symmetry: P2_1/c (14)
Total magnetic moment (μB per formula unit): 0.00